# 1
TcBS3 | PBE | optimized geometry

Cell: 4.057 4.057 4.057 Å, 90.00 90.00 90.00°
Positions (direct):
Tc1 0.000 0.000 0.000
B1 0.500 0.500 0.500
S1 0.000 0.500 0.500
S2 0.500 0.000 0.500
S3 0.500 0.500 0.000

Output
Total moment = 0.0 Bohr magnetons per cell
V = 13.354 Å³ per atom
Formation energy from raw total energies = 0.8747 eV/atom
Relative energy among the computed polymorphs = 0.000 eV per atom
DFT total energy = -5.01 eV per atom
D(E_F) = 3.6 states/eV/cell


# 2
YTcBS2 | PBE | optimized geometry

Cell: 4.790 4.790 3.923 Å, 90.00 90.00 90.00°
Positions (direct):
Y1 0.000 0.000 0.000
Tc1 0.500 0.500 0.500
B1 0.500 0.500 0.000
S1 0.000 0.500 0.500
S2 0.500 0.000 0.500

Output
Total moment = 0.0 Bohr magnetons per cell
V = 18.001 Å³ per atom
Formation energy from raw total energies = -0.2273 eV/atom
DFT total energy = -6.58 eV per atom
D(E_F) = 4.1 states/eV/cell


- What is the formula in the first record?
  TcBS3


- Number 2 is which compound?
  YTcBS2


Copy entry 2 word for word.
YTcBS2 | PBE | optimized geometry

Cell: 4.790 4.790 3.923 Å, 90.00 90.00 90.00°
Positions (direct):
Y1 0.000 0.000 0.000
Tc1 0.500 0.500 0.500
B1 0.500 0.500 0.000
S1 0.000 0.500 0.500
S2 0.500 0.000 0.500

Output
Total moment = 0.0 Bohr magnetons per cell
V = 18.001 Å³ per atom
Formation energy from raw total energies = -0.2273 eV/atom
DFT total energy = -6.58 eV per atom
D(E_F) = 4.1 states/eV/cell